Record 1
# VRhO2F

A relaxed VRhO2F crystal (PBE+U, Alexandria).

## Properties
Crystal system: tetragonal
Raw total energy in eV/atom: -5.461
Density in Mg/m³: 5.4
Space-group type: P4/mmm

POSCAR file:
```
VRhO2F
1.0
-3.287 -0.875 -2.057
1.957 -2.897 -1.893
-1.093 -2.603 2.853
Rh F O V
1 1 2 1
direct
0.000 0.000 0.000
0.000 0.000 0.500
0.500 0.000 0.000
0.000 0.500 0.000
0.500 0.500 0.500
```

=====

Record 2
# VRhO2F

A relaxed VRhO2F crystal (PBE+U, Alexandria).

## Properties
Crystal system: tetragonal
Raw total energy in eV/atom: -6.085
Density in Mg/m³: 6.0
Space-group type: P4/mmm

POSCAR file:
```
VRhO2F
1.0
3.863 0.000 0.000
0.000 3.863 0.000
0.000 0.000 3.830
O V F Rh
2 1 1 1
direct
0.500 0.000 0.000
0.000 0.500 0.000
0.000 0.000 0.000
0.000 0.000 0.500
0.500 0.500 0.500
```

=====

Look up the density of the first one.
5.4 Mg/m³

=====

What is the density in the second record?
6.0 Mg/m³

=====

Among the records above, which one has the lowest density?
number 1

=====

density of number 1 (VRhO2F)?
5.4 Mg/m³